Density functional theory data (SCAN) for a crystal of BaMo3 relaxed with PBEsol.

The density of states at the Fermi level comes out at 1.08 states/eV/atom. Its crystal system is trigonal. The offset from the most stable computed form is 0.0 meV/atom. The calculation puts the formation energy at 1043 meV per atom.

The space group is R-3m (No. 166, hexagonal axes) and the conventional cell measures 3.1024, 3.1024 and 28.8053 Å, with angles of 90.00, 90.00 and 120.00 degrees. The inequivalent atoms are Ba at (0.0000, 0.0000, 0.0000), Mo at (0.0000, 0.0000, 0.2318) and Mo at (0.0000, 0.0000, 0.5000).